# 1
Computed, not measured: a relaxed BaSr2 crystal at the PBE-GGA level of DFT.

The structure belongs to space group Pa-3 (No. 205); the cell edges are 8.780, 8.780 and 8.780 Å and the angles 90.00°, 90.00° and 90.00°. The inequivalent atoms are Ba at (0.000, 0.000, 0.000) and Sr at (0.132, 0.632, 0.868).

The total moment comes out at 0.000 μB per atom. As for the formation energy: 0.531 eV per atom. Its energy above the most stable polymorph in this dataset is 528 meV per atom. The calculation puts the volume at 56.4 Å³/atom. The value obtained for the density of states at the Fermi level is 15.34 states/eV/cell.

# 2
Computed, not measured: a relaxed Ga2SbTeC crystal at the PBE-GGA level of DFT.

The structure belongs to space group P4/mmm (No. 123); the cell edges are 5.479, 5.479 and 5.855 Å and the angles 90.00°, 90.00° and 90.00°. The inequivalent atoms are Ga at (0.000, 0.500, 0.000), Sb at (0.000, 0.000, 0.000), Te at (0.000, 0.000, 0.500) and C at (0.500, 0.500, 0.500).

The total moment comes out at 0.351 μB per atom. As for the uncorrected formation energy: 1.76 eV per atom. The calculation puts the volume at 35.2 Å³/atom. The value obtained for the density of states at the Fermi level is 3.19 states/eV/cell.

# 3
Computed, not measured: a relaxed Li2Cd7Au2 crystal at the PBE-GGA level of DFT.

The structure belongs to space group C2/m (No. 12); the cell edges are 7.607, 8.044 and 7.395 Å and the angles 90.00°, 104.51° and 90.00°. The inequivalent atoms are Li at (0.105, 0.000, 0.335), Cd at (0.000, 0.500, 0.500), Cd at (0.161, 0.500, 0.921), Cd at (0.217, 0.187, 0.688) and Au at (0.000, 0.185, 0.000).

The total moment comes out at 0.000 μB per atom. As for the formation energy: -0.198 eV per atom. The calculation puts the volume at 19.9 Å³/atom. The value obtained for the density of states at the Fermi level is 4.52 states/eV/cell.

# 4
Computed, not measured: a relaxed TaTeRh crystal at the PBE-GGA level of DFT.

The structure belongs to space group Imm2 (No. 44); the cell edges are 3.021, 3.385 and 11.110 Å and the angles 90.00°, 90.00° and 90.00°. The inequivalent atoms are Ta at (0.000, 0.000, 0.000), Te at (0.000, 0.000, 0.322) and Rh at (0.000, 0.000, 0.635).

The total moment comes out at 0.000 μB per atom. As for the uncorrected formation energy: -0.04 eV per atom. The calculation puts the volume at 18.9 Å³/atom. The value obtained for the density of states at the Fermi level is 2.80 states/eV/cell.